No. 1
Entry from Alexandria via LeMat-Bulk: a relaxed Ti5NbPb2 crystal (PBE).

## Properties
Calculated total energy = -7.179 eV per atom
Relative energy among the computed polymorphs = 0 meV per atom
Magnetization = 0.000 μB per atom

Cell: 4.911 4.911 12.533 Å, 90.00 90.00 90.00°
Space group I4/mmm (No. 139)
Inequivalent atoms, fractional coordinates:
Ti 0.000 0.000 0.000 (multiplicity 2)
Ti 0.000 0.500 0.113 (multiplicity 8)
Nb 0.000 0.000 0.500 (multiplicity 2)
Pb 0.000 0.000 0.249 (multiplicity 4)

No. 2
Entry from Alexandria via LeMat-Bulk: a relaxed TiNb2Pb crystal (PBE).

## Properties
Calculated total energy = -7.259 eV per atom
Magnetization = 0.000 μB per atom

Cell: 7.605 7.605 5.713 Å, 90.00 90.00 90.00°
Space group I-42d (No. 122)
Inequivalent atoms, fractional coordinates:
Ti 0.000 0.000 0.000 (multiplicity 4)
Nb 0.231 0.250 0.125 (multiplicity 8)
Pb 0.000 0.000 0.500 (multiplicity 4)

No. 3
Entry from Alexandria via LeMat-Bulk: a relaxed NbTl2Pb crystal (PBE).

## Properties
Calculated total energy = -4.061 eV per atom
Relative energy among the computed polymorphs = 0 meV per atom
Magnetization = 0.000 μB per atom

Cell: 3.2454 3.2454 35.6514 Å, 90.00 90.00 120.00°
Space group R-3m (No. 166, hexagonal axes)
Inequivalent atoms, fractional coordinates:
Nb 0.0000 0.0000 0.0000 (multiplicity 3)
Tl 0.0000 0.0000 0.0812 (multiplicity 6)
Pb 0.0000 0.0000 0.5000 (multiplicity 3)

No. 4
Entry from Alexandria via LeMat-Bulk: a relaxed NbTl2Pb crystal (PBE).

## Properties
Calculated total energy = -3.959 eV per atom
Relative energy among the computed polymorphs = 102 meV per atom
Magnetization = 0.682 μB per atom

Cell: 7.519 7.519 7.519 Å, 90.00 90.00 90.00°
Space group Fm-3m (No. 225)
Inequivalent atoms, fractional coordinates:
Nb 0.000 0.000 0.000 (multiplicity 4)
Tl 0.250 0.250 0.250 (multiplicity 8)
Pb 0.000 0.000 0.500 (multiplicity 4)

No. 5
Entry from Alexandria via LeMat-Bulk: a relaxed NbTl2Pb crystal (PBE).

## Properties
Calculated total energy = -3.978 eV per atom
Relative energy among the computed polymorphs = 83 meV per atom
Magnetization = 0.000 μB per atom

Cell: 8.620 8.620 5.949 Å, 90.00 90.00 90.00°
Space group I-42d (No. 122)
Inequivalent atoms, fractional coordinates:
Nb 0.000 0.000 0.000 (multiplicity 4)
Tl 0.203 0.750 0.125 (multiplicity 8)
Pb 0.000 0.000 0.500 (multiplicity 4)

No. 6
Entry from Alexandria via LeMat-Bulk: a relaxed Nb2TlVPb crystal (PBE).

## Properties
Calculated total energy = -4.749 eV per atom
Magnetization = 0.303 μB per atom

Cell: 5.164 5.164 5.489 Å, 90.00 90.00 90.00°
Space group P4/mmm (No. 123)
Inequivalent atoms, fractional coordinates:
Nb 0.000 0.500 0.000 (multiplicity 2)
Tl 0.000 0.000 0.000 (multiplicity 1)
V 0.500 0.500 0.500 (multiplicity 1)
Pb 0.000 0.000 0.500 (multiplicity 1)

No. 7
Entry from Alexandria via LeMat-Bulk: a relaxed YNbTlPb2 crystal (PBE).

## Properties
Calculated total energy = -4.234 eV per atom
Magnetization = 0.629 μB per atom

Cell: 5.700 5.700 5.401 Å, 90.00 90.00 90.00°
Space group P4/mmm (No. 123)
Inequivalent atoms, fractional coordinates:
Y 0.000 0.000 0.000 (multiplicity 1)
Nb 0.500 0.500 0.000 (multiplicity 1)
Tl 0.500 0.500 0.500 (multiplicity 1)
Pb 0.000 0.500 0.500 (multiplicity 2)

No. 8
Entry from Alexandria via LeMat-Bulk: a relaxed NbTlZnPb2 crystal (PBE).

## Properties
Calculated total energy = -3.677 eV per atom
Magnetization = 0.000 μB per atom

Cell: 5.521 5.521 5.577 Å, 90.00 90.00 90.00°
Space group P4/mmm (No. 123)
Inequivalent atoms, fractional coordinates:
Nb 0.000 0.000 0.000 (multiplicity 1)
Tl 0.000 0.000 0.500 (multiplicity 1)
Zn 0.500 0.500 0.500 (multiplicity 1)
Pb 0.000 0.500 0.000 (multiplicity 2)